No. 1
{
  "formula": "Ta4Rh",
  "functional": "GGA-PBE",
  "state": "optimized geometry",
  "lattice": [[3.836, -6.111, 0.000], [3.836, 6.111, 0.000], [-3.392, 0.000, 3.837]],
  "species": ["Ta", "Ta", "Ta", "Ta", "Ta", "Ta", "Ta", "Ta", "Rh", "Rh"],
  "frac_coords": [[0.042, 0.221, 0.131], [0.169, 0.544, 0.856], [0.221, 0.042, 0.631], [0.456, 0.831, 0.644], [0.544, 0.169, 0.356], [0.779, 0.958, 0.369], [0.831, 0.456, 0.144], [0.958, 0.779, 0.869], [0.500, 0.500, 0.250], [0.500, 0.500, 0.750]],
  "delta_e_f_ev_per_fu": 0.327,
  "relative_energy_ev_per_atom": 0.295,
  "n_ef_per_ev_cell": 12.67,
  "sg": "C2/c (15)",
  "energy_ev_per_cell": -108.87
}

---

No. 2
{
  "formula": "ThScTe2",
  "functional": "GGA-PBE",
  "state": "optimized geometry",
  "lattice": [[7.593, 0.000, 0.000], [0.000, 4.148, 0.000], [0.000, 0.000, 14.479]],
  "species": ["Th", "Th", "Th", "Th", "Sc", "Sc", "Sc", "Sc", "Te", "Te", "Te", "Te", "Te", "Te", "Te", "Te"],
  "frac_coords": [[0.118, 0.250, 0.147], [0.382, 0.750, 0.647], [0.618, 0.250, 0.353], [0.882, 0.750, 0.853], [0.058, 0.750, 0.407], [0.442, 0.250, 0.907], [0.558, 0.750, 0.093], [0.942, 0.250, 0.593], [0.155, 0.250, 0.763], [0.225, 0.750, 0.989], [0.275, 0.250, 0.489], [0.345, 0.750, 0.263], [0.655, 0.250, 0.737], [0.725, 0.750, 0.511], [0.775, 0.250, 0.011], [0.845, 0.750, 0.237]],
  "raw_formation_energy_ev_per_atom": -1.04,
  "relative_energy_ev_per_atom": 0.047,
  "n_ef_per_ev_cell": 11.08,
  "sg": "Pnma (62)",
  "energy_ev_per_cell": -96.75
}

---

Number 1: total magnetic moment 0.00 μB per formula unit, calculated volume 179.9 Å³/cell. Number 2: total magnetic moment 0.00 μB per formula unit, calculated volume 456.0 Å³/cell.